Record 1
The following is a PBE calculation of a geometry-optimized LiSi2Br structure, from the Alexandria database.

```
LiSi2Br
1.0
1.645 -2.661 0.000
1.645 2.661 0.000
0.000 0.000 8.647
Li Si Br
1 2 1
direct
0.000 0.000 0.000
0.500 0.500 0.244
0.500 0.500 0.756
0.000 0.000 0.500
```

## Properties
Calculated volume (Å³/f.u.): 75.7
DOS(E_F) (states/eV per cell): 1.5
Space-group type: No. 65
Distance to the lowest polymorph of the same formula (eV per atom): 0.8932
Formation energy (no corrections) (eV per atom): 0.507
Spin magnetization (μB/cell): 0.0
Energy (eV/atom): -3.101


Record 2
The following is a PBE calculation of a geometry-optimized Li2SiBr structure, from the Alexandria database.

```
Li2SiBr
1.0
7.364 -1.632 0.000
7.364 1.632 0.000
-0.008 0.000 3.210
Li Si Br
2 1 1
direct
0.000 0.000 0.000
0.734 0.734 0.003
0.378 0.378 0.499
0.139 0.139 0.502
```

## Properties
Calculated volume (Å³/f.u.): 77.1
DOS(E_F) (states/eV per cell): 2.0
Space-group type: No. 8
Distance to the lowest polymorph of the same formula (eV per atom): 0.0334
Formation energy (no corrections) (eV per atom): -0.404
Spin magnetization (μB/cell): 0.0
Energy (eV/atom): -3.135